Entry 1:
Material: PrGdAsO
Method: DFT, PBE
State: relaxed

- VASP energy: -6.6589 eV per atom
- Space-group type: Pmc2_1 (26)

The structure in POSCAR format:
```
PrGdAsO
1.0
-1.6475 -3.2407 -2.1683
4.8854 -5.1011 3.9120
-4.0169 -0.7019 4.1011
As Gd O Pr
2 2 2 2
Direct
0.0000 0.3556 0.4362 As
0.0000 0.6444 0.9362 As
0.0000 0.7085 0.4393 Gd
0.0000 0.2915 0.9393 Gd
0.5000 0.8232 0.3995 O
0.5000 0.1768 0.8995 O
0.5000 0.1217 0.4790 Pr
0.5000 0.8783 0.9790 Pr
```

Entry 2:
Material: ScTaBe2
Method: DFT, PBE
State: relaxed

- VASP energy: -5.7320 eV per atom
- Space-group type: F-43m (216)

The structure in POSCAR format:
```
ScTaBe2
1.0
-1.9341 -3.4899 -1.8653
-0.9698 -3.5418 2.4319
-4.1989 -0.9498 0.9308
Be Sc Ta
2 1 1
Direct
0.0000 0.0000 0.0000 Be
0.7500 0.7500 0.7500 Be
0.2500 0.2500 0.2500 Sc
0.5000 0.5000 0.5000 Ta
```

Entry 3:
Material: NdHgIr
Method: DFT, PBE
State: relaxed

- Energy relative to the elements: 3.76 kcal/mol of atoms
- Space-group type: F-43m (216)

The structure in POSCAR format:
```
NdHgIr
1.0
0.0000 3.4470 3.4470
3.4470 0.0000 3.4470
3.4470 3.4470 0.0000
Hg Ir Nd
1 1 1
Direct
0.2500 0.2500 0.2500 Hg
0.7500 0.7500 0.7500 Ir
0.0000 0.0000 0.0000 Nd
```